*w*
Below is crystalline Tc2PbO at its relaxed geometry, with properties calculated at the PBE level.

Summary:
V, Å³/cell: 295
Theoretical density, kg/m3: 9429
Space group: I-42d
Magnetization, Bohr magnetons per cell: 0.00

Cell and atoms, written as CIF:
```
data_Tc2PbO
_space_group_name_H-M_alt 'P 1'
_space_group_IT_number 1
_space_group_name_Hall 'P 1'
_cell_length_a 5.758
_cell_length_b 5.758
_cell_length_c 8.907
_cell_angle_alpha 90.00
_cell_angle_beta 90.00
_cell_angle_gamma 90.00
loop_
_atom_site_label
_atom_site_type_symbol
_atom_site_fract_x
_atom_site_fract_y
_atom_site_fract_z
Tc1 Tc 0.114 0.250 0.125
Tc2 Tc 0.250 0.614 0.375
Tc3 Tc 0.250 0.886 0.875
Tc4 Tc 0.386 0.250 0.625
Tc5 Tc 0.614 0.750 0.625
Tc6 Tc 0.750 0.114 0.875
Tc7 Tc 0.750 0.386 0.375
Tc8 Tc 0.886 0.750 0.125
Pb1 Pb 0.000 0.000 0.500
Pb2 Pb 0.000 0.500 0.750
Pb3 Pb 0.500 0.000 0.250
Pb4 Pb 0.500 0.500 0.000
O1 O 0.000 0.000 0.000
O2 O 0.000 0.500 0.250
O3 O 0.500 0.000 0.750
O4 O 0.500 0.500 0.500
```

=====

*x*
Below is crystalline Tc2PbO at its relaxed geometry, with properties calculated at the PBE level.

Summary:
V, Å³/cell: 253
Theoretical density, kg/m3: 11023
Space group: Fm-3m
Magnetization, Bohr magnetons per cell: 11.23

Cell and atoms, written as CIF:
```
data_Tc2PbO
_space_group_name_H-M_alt 'P 1'
_space_group_IT_number 1
_space_group_name_Hall 'P 1'
_cell_length_a 6.321
_cell_length_b 6.321
_cell_length_c 6.321
_cell_angle_alpha 90.00
_cell_angle_beta 90.00
_cell_angle_gamma 90.00
loop_
_atom_site_label
_atom_site_type_symbol
_atom_site_fract_x
_atom_site_fract_y
_atom_site_fract_z
Tc1 Tc 0.250 0.250 0.250
Tc2 Tc 0.250 0.250 0.750
Tc3 Tc 0.250 0.750 0.250
Tc4 Tc 0.250 0.750 0.750
Tc5 Tc 0.750 0.250 0.250
Tc6 Tc 0.750 0.250 0.750
Tc7 Tc 0.750 0.750 0.250
Tc8 Tc 0.750 0.750 0.750
Pb1 Pb 0.000 0.000 0.000
Pb2 Pb 0.000 0.500 0.500
Pb3 Pb 0.500 0.000 0.500
Pb4 Pb 0.500 0.500 0.000
O1 O 0.000 0.000 0.500
O2 O 0.000 0.500 0.000
O3 O 0.500 0.000 0.000
O4 O 0.500 0.500 0.500
```

=====

On energetic grounds, *w* is preferred over the next structure by 61.0 kJ/mol of atoms.

=====

*w*
Below is crystalline Tc2Pb2O7 at its relaxed geometry, with properties calculated at the PBE level.

Summary:
V, Å³/cell: 197
Theoretical density, kg/m3: 6093
Space group: C2/m
Magnetization, Bohr magnetons per cell: 0.00

Cell and atoms, written as CIF:
```
data_Tc2Pb2O7
_space_group_name_H-M_alt 'P 1'
_space_group_IT_number 1
_space_group_name_Hall 'P 1'
_cell_length_a 6.251
_cell_length_b 6.251
_cell_length_c 5.749
_cell_angle_alpha 95.94
_cell_angle_beta 95.94
_cell_angle_gamma 116.63
loop_
_atom_site_label
_atom_site_type_symbol
_atom_site_fract_x
_atom_site_fract_y
_atom_site_fract_z
Tc1 Tc 0.249 0.249 0.106
Tc2 Tc 0.751 0.751 0.894
Pb1 Pb 0.187 0.813 0.500
Pb2 Pb 0.813 0.187 0.500
O1 O 0.063 0.063 0.806
O2 O 0.142 0.434 0.278
O3 O 0.434 0.142 0.278
O4 O 0.500 0.500 0.000
O5 O 0.566 0.858 0.722
O6 O 0.858 0.566 0.722
O7 O 0.937 0.937 0.194
```

=====

*x*
Below is crystalline Tc2Pb2O7 at its relaxed geometry, with properties calculated at the PBE level.

Summary:
V, Å³/cell: 296
Theoretical density, kg/m3: 8115
Space group: Fd-3m
Magnetization, Bohr magnetons per cell: 7.69

Cell and atoms, written as CIF:
```
data_Tc2Pb2O7
_space_group_name_H-M_alt 'P 1'
_space_group_IT_number 1
_space_group_name_Hall 'P 1'
_cell_length_a 7.478
_cell_length_b 7.478
_cell_length_c 7.478
_cell_angle_alpha 60.00
_cell_angle_beta 60.00
_cell_angle_gamma 60.00
loop_
_atom_site_label
_atom_site_type_symbol
_atom_site_fract_x
_atom_site_fract_y
_atom_site_fract_z
Tc1 Tc 0.000 0.000 0.000
Tc2 Tc 0.000 0.000 0.500
Tc3 Tc 0.000 0.500 0.000
Tc4 Tc 0.500 0.000 0.000
Pb1 Pb 0.000 0.500 0.500
Pb2 Pb 0.500 0.000 0.500
Pb3 Pb 0.500 0.500 0.000
Pb4 Pb 0.500 0.500 0.500
O1 O 0.068 0.068 0.682
O2 O 0.068 0.682 0.068
O3 O 0.068 0.682 0.682
O4 O 0.318 0.318 0.932
O5 O 0.318 0.932 0.318
O6 O 0.318 0.932 0.932
O7 O 0.375 0.375 0.375
O8 O 0.625 0.625 0.625
O9 O 0.682 0.068 0.068
O10 O 0.682 0.068 0.682
O11 O 0.682 0.682 0.068
O12 O 0.932 0.318 0.318
O13 O 0.932 0.318 0.932
O14 O 0.932 0.932 0.318
```

=====

On energetic grounds, *x* is preferred over the next structure by 0.8 kJ/mol of atoms.